Record 1
Density functional theory data (PBE) for an optimized crystal structure of La2CdPd.

Lattice parameters (Å, degrees): 6.816 6.816 6.816 103.60 103.60 121.98
Sites, in units of the cell vectors:
La1 0.079 0.625 0.954
La2 0.375 0.329 0.454
La3 0.671 0.125 0.046
La4 0.875 0.921 0.546
Cd1 0.250 0.750 0.500
Cd2 0.500 0.500 0.000
Pd1 0.000 0.000 0.000
Pd2 0.750 0.250 0.500

Summary:
The energy comes out at -4.276 eV/atom. The calculation puts the density at 7021 kg/m³. As for the space group: I-42d.

=====

Record 2
Density functional theory data (PBE) for an optimized crystal structure of CsTlBr.

Lattice parameters (Å, degrees): 13.127 4.448 4.448 90.13 90.00 90.00
Sites, in units of the cell vectors:
Cs1 0.164 0.000 0.000
Cs2 0.836 0.000 0.000
Tl1 0.387 0.497 0.497
Tl2 0.613 0.497 0.497
Br1 0.000 0.501 0.501
Br2 0.500 0.997 0.997

Summary:
The energy comes out at -2.426 eV/atom. The calculation puts the density at 5336 kg/m³. As for the space group: Amm2. The calculation puts the raw formation energy at -795 meV per atom.

=====

Record 3
Density functional theory data (PBE) for an optimized crystal structure of Ag2HgBr6.

Lattice parameters (Å, degrees): 9.280 9.280 7.299 97.46 97.46 80.41
Sites, in units of the cell vectors:
Ag1 0.143 0.329 0.118
Ag2 0.329 0.143 0.618
Ag3 0.671 0.857 0.382
Ag4 0.857 0.671 0.882
Hg1 0.320 0.680 0.250
Hg2 0.680 0.320 0.750
Br1 0.124 0.129 0.828
Br2 0.129 0.124 0.328
Br3 0.189 0.520 0.419
Br4 0.189 0.527 0.914
Br5 0.473 0.811 0.586
Br6 0.480 0.811 0.081
Br7 0.520 0.189 0.919
Br8 0.527 0.189 0.414
Br9 0.811 0.473 0.086
Br10 0.811 0.480 0.581
Br11 0.871 0.876 0.672
Br12 0.876 0.871 0.172

Summary:
The energy comes out at -2.023 eV/atom. As for the energy above the most stable polymorph in this dataset: 14.2 meV/atom. The calculation puts the density at 4870 kg/m³. As for the space group: C2/c. The calculation puts the raw formation energy at -241 meV per atom.

=====

Record 4
Density functional theory data (PBE) for an optimized crystal structure of BaTe3Br.

Lattice parameters (Å, degrees): 6.801 6.801 6.801 90.00 90.00 90.00
Sites, in units of the cell vectors:
Ba1 0.000 0.000 0.000
Te1 0.000 0.000 0.500
Te2 0.000 0.500 0.000
Te3 0.500 0.000 0.000
Br1 0.500 0.500 0.500

Summary:
The energy comes out at -2.329 eV/atom. As for the energy above the most stable polymorph in this dataset: 542.7 meV/atom. The calculation puts the density at 3168 kg/m³. As for the space group: Pm-3m. The calculation puts the raw formation energy at 276 meV per atom.

=====

Record 5
Density functional theory data (PBE) for an optimized crystal structure of KUCdCl6.

Lattice parameters (Å, degrees): 7.127 7.127 13.592 90.00 90.00 120.00
Sites, in units of the cell vectors:
K1 0.000 0.000 0.000
K2 0.000 0.000 0.500
U1 0.333 0.667 0.250
U2 0.667 0.333 0.750
Cd1 0.333 0.667 0.750
Cd2 0.667 0.333 0.250
Cl1 0.007 0.374 0.638
Cl2 0.007 0.633 0.862
Cl3 0.367 0.374 0.862
Cl4 0.367 0.993 0.638
Cl5 0.374 0.007 0.138
Cl6 0.374 0.367 0.362
Cl7 0.626 0.633 0.638
Cl8 0.626 0.993 0.862
Cl9 0.633 0.007 0.362
Cl10 0.633 0.626 0.138
Cl11 0.993 0.367 0.138
Cl12 0.993 0.626 0.362

Summary:
The energy comes out at -4.266 eV/atom. The calculation puts the density at 3345 kg/m³. As for the space group: P-31c. The calculation puts the raw formation energy at -1557 meV per atom.

=====

Record 6
Density functional theory data (PBE) for an optimized crystal structure of Rb5Pm2Cl12.

Lattice parameters (Å, degrees): 9.555 9.555 8.298 99.23 99.23 62.54
Sites, in units of the cell vectors:
Rb1 0.000 0.000 0.000
Rb2 0.247 0.247 0.485
Rb3 0.364 0.364 0.978
Rb4 0.636 0.636 0.022
Rb5 0.753 0.753 0.515
Pm1 0.249 0.751 0.500
Pm2 0.751 0.249 0.500
Cl1 0.079 0.079 0.655
Cl2 0.095 0.699 0.727
Cl3 0.160 0.547 0.281
Cl4 0.301 0.905 0.273
Cl5 0.453 0.840 0.719
Cl6 0.457 0.457 0.663
Cl7 0.543 0.543 0.337
Cl8 0.547 0.160 0.281
Cl9 0.699 0.095 0.727
Cl10 0.840 0.453 0.719
Cl11 0.905 0.301 0.273
Cl12 0.921 0.921 0.345

Summary:
The energy comes out at -3.859 eV/atom. The calculation puts the density at 2874 kg/m³. As for the space group: C2/m. The calculation puts the raw formation energy at -1938 meV per atom.

=====

Record 7
Density functional theory data (PBE) for an optimized crystal structure of SiMoS2.

Lattice parameters (Å, degrees): 7.708 7.708 7.708 23.79 23.79 23.79
Sites, in units of the cell vectors:
Si1 0.000 0.000 0.000
Mo1 0.500 0.500 0.500
S1 0.395 0.395 0.395
S2 0.605 0.605 0.605

Summary:
The energy comes out at -6.013 eV/atom. The calculation puts the density at 4775 kg/m³. As for the space group: R-3m. The calculation puts the raw formation energy at 114 meV per atom.

=====

Record 8
Density functional theory data (PBE) for an optimized crystal structure of ZrReP.

Lattice parameters (Å, degrees): 5.419 5.419 6.757 119.79 119.79 35.32
Sites, in units of the cell vectors:
Zr1 0.081 0.081 0.341
Zr2 0.919 0.919 0.659
Re1 0.348 0.348 0.946
Re2 0.652 0.652 0.054
P1 0.338 0.338 0.298
P2 0.662 0.662 0.702

Summary:
The energy comes out at -9.465 eV/atom. The calculation puts the density at 10462 kg/m³. As for the space group: C2/m.

=====

Record 9
Density functional theory data (PBE) for an optimized crystal structure of Ru3Pb6O14.

Lattice parameters (Å, degrees): 9.250 9.250 5.623 90.00 90.00 120.00
Sites, in units of the cell vectors:
Ru1 0.000 0.000 0.000
Ru2 0.333 0.667 0.470
Ru3 0.667 0.333 0.022
Pb1 0.083 0.703 0.926
Pb2 0.297 0.379 0.926
Pb3 0.303 0.088 0.427
Pb4 0.621 0.917 0.926
Pb5 0.786 0.697 0.427
Pb6 0.912 0.214 0.427
O1 0.075 0.874 0.225
O2 0.126 0.201 0.225
O3 0.150 0.490 0.604
O4 0.207 0.099 0.810
O5 0.333 0.667 0.148
O6 0.340 0.850 0.604
O7 0.510 0.660 0.604
O8 0.532 0.404 0.154
O9 0.596 0.128 0.154
O10 0.667 0.333 0.709
O11 0.799 0.925 0.225
O12 0.872 0.468 0.154
O13 0.891 0.793 0.810
O14 0.901 0.109 0.810

Summary:
The energy comes out at -6.164 eV/atom. The calculation puts the density at 7057 kg/m³. As for the space group: P3. The calculation puts the raw formation energy at -969 meV per atom.

=====

Record 10
Density functional theory data (PBE) for an optimized crystal structure of ErReP2.

Lattice parameters (Å, degrees): 3.071 3.071 6.719 90.00 90.00 90.00
Sites, in units of the cell vectors:
Er1 0.000 0.000 0.000
Re1 0.000 0.000 0.500
P1 0.500 0.500 0.291
P2 0.500 0.500 0.709

Summary:
The energy comes out at -7.374 eV/atom. As for the energy above the most stable polymorph in this dataset: 242.3 meV/atom. The calculation puts the density at 10889 kg/m³. As for the space group: P4/mmm.

=====

Record 11
Density functional theory data (PBE) for an optimized crystal structure of BaTePd2.

Lattice parameters (Å, degrees): 9.552 9.552 9.552 147.59 147.59 46.50
Sites, in units of the cell vectors:
Ba1 0.000 0.000 0.000
Ba2 0.750 0.250 0.500
Te1 0.250 0.750 0.500
Te2 0.500 0.500 0.000
Pd1 0.317 0.625 0.192
Pd2 0.375 0.567 0.692
Pd3 0.433 0.125 0.808
Pd4 0.875 0.683 0.308

Summary:
The energy comes out at -4.567 eV/atom. The calculation puts the density at 6359 kg/m³. As for the space group: I-42d. The calculation puts the raw formation energy at -705 meV per atom.

=====

Record 12
Density functional theory data (PBE) for an optimized crystal structure of LaMg2CoPb.

Lattice parameters (Å, degrees): 5.020 5.020 4.920 90.00 90.00 90.00
Sites, in units of the cell vectors:
La1 0.000 0.000 0.000
Mg1 0.000 0.500 0.500
Mg2 0.500 0.000 0.500
Co1 0.000 0.000 0.500
Pb1 0.500 0.500 0.000

Summary:
The energy comes out at -3.899 eV/atom. As for the energy above the most stable polymorph in this dataset: 0.0 meV/atom. The calculation puts the density at 6076 kg/m³. As for the space group: P4/mmm.

=====

Record 13
Density functional theory data (PBE) for an optimized crystal structure of ZrNpHgO6.

Lattice parameters (Å, degrees): 5.667 5.667 9.656 90.00 90.00 120.00
Sites, in units of the cell vectors:
Zr1 0.333 0.667 0.250
Zr2 0.667 0.333 0.750
Np1 0.333 0.667 0.750
Np2 0.667 0.333 0.250
Hg1 0.000 0.000 0.000
Hg2 0.000 0.000 0.500
O1 0.007 0.367 0.639
O2 0.007 0.640 0.861
O3 0.360 0.367 0.861
O4 0.360 0.993 0.639
O5 0.367 0.007 0.139
O6 0.367 0.360 0.361
O7 0.633 0.640 0.639
O8 0.633 0.993 0.861
O9 0.640 0.007 0.361
O10 0.640 0.633 0.139
O11 0.993 0.360 0.139
O12 0.993 0.633 0.361

Summary:
The energy comes out at -8.042 eV/atom. The calculation puts the density at 7726 kg/m³. As for the space group: P-31c. The calculation puts the raw formation energy at -2315 meV per atom.

=====

Record 14
Density functional theory data (PBE) for an optimized crystal structure of CrCd2Cl.

Lattice parameters (Å, degrees): 5.110 5.110 5.110 60.00 60.00 60.00
Sites, in units of the cell vectors:
Cr1 0.000 0.000 0.000
Cd1 0.250 0.250 0.250
Cd2 0.750 0.750 0.750
Cl1 0.500 0.500 0.500

Summary:
The energy comes out at -2.948 eV/atom. As for the energy above the most stable polymorph in this dataset: 404.8 meV/atom. The calculation puts the density at 5496 kg/m³. As for the space group: Fm-3m. The calculation puts the raw formation energy at 377 meV per atom.

=====

Record 15
Density functional theory data (PBE) for an optimized crystal structure of La2YHg5.

Lattice parameters (Å, degrees): 8.596 8.596 8.596 144.40 144.40 51.23
Sites, in units of the cell vectors:
La1 0.235 0.235 0.000
La2 0.765 0.765 0.000
Y1 0.500 0.500 0.000
Hg1 0.000 0.000 0.000
Hg2 0.115 0.615 0.500
Hg3 0.385 0.885 0.500
Hg4 0.615 0.115 0.500
Hg5 0.885 0.385 0.500

Summary:
The energy comes out at -2.665 eV/atom. The calculation puts the density at 10622 kg/m³. As for the space group: I4/mmm.

=====

Record 16
Density functional theory data (PBE) for an optimized crystal structure of TbMgGaSn.

Lattice parameters (Å, degrees): 4.338 4.538 4.623 90.00 90.00 90.00
Sites, in units of the cell vectors:
Tb1 0.000 0.000 0.000
Mg1 0.000 0.500 0.500
Ga1 0.500 0.500 0.000
Sn1 0.500 0.000 0.500

Summary:
The energy comes out at -3.802 eV/atom. As for the energy above the most stable polymorph in this dataset: 0.0 meV/atom. The calculation puts the density at 6780 kg/m³. As for the space group: Pmmm.

=====

Record 17
Density functional theory data (PBE) for an optimized crystal structure of AlRh.

Lattice parameters (Å, degrees): 6.599 6.599 2.848 90.00 90.00 108.52
Sites, in units of the cell vectors:
Al1 0.138 0.862 0.000
Al2 0.277 0.277 0.500
Al3 0.723 0.723 0.500
Al4 0.862 0.138 0.000
Rh1 0.000 0.500 0.500
Rh2 0.374 0.626 0.000
Rh3 0.500 0.000 0.500
Rh4 0.626 0.374 0.000

Summary:
The energy comes out at -6.064 eV/atom. The calculation puts the density at 7337 kg/m³. As for the space group: Cmmm.

=====

Record 18
Density functional theory data (PBE) for an optimized crystal structure of LaP2Se.

Lattice parameters (Å, degrees): 4.298 4.298 4.497 90.00 90.00 90.00
Sites, in units of the cell vectors:
La1 0.000 0.000 0.000
P1 0.000 0.500 0.500
P2 0.500 0.000 0.500
Se1 0.500 0.500 0.000

Summary:
The energy comes out at -5.365 eV/atom. The calculation puts the density at 5593 kg/m³. As for the space group: P4/mmm. The calculation puts the raw formation energy at -557 meV per atom.

=====

Record 19
Density functional theory data (PBE) for an optimized crystal structure of HfSi3Te.

Lattice parameters (Å, degrees): 5.127 5.127 5.127 90.00 90.00 90.00
Sites, in units of the cell vectors:
Hf1 0.000 0.000 0.000
Si1 0.000 0.000 0.500
Si2 0.000 0.500 0.000
Si3 0.500 0.000 0.000
Te1 0.500 0.500 0.500

Summary:
The energy comes out at -5.016 eV/atom. As for the energy above the most stable polymorph in this dataset: 0.0 meV/atom. The calculation puts the density at 4809 kg/m³. As for the space group: Pm-3m. The calculation puts the raw formation energy at 857 meV per atom.

=====

Record 20
Density functional theory data (PBE) for an optimized crystal structure of Ba2ZnSiNi.

Lattice parameters (Å, degrees): 6.016 6.016 4.387 90.00 90.00 90.00
Sites, in units of the cell vectors:
Ba1 0.000 0.500 0.000
Ba2 0.500 0.000 0.000
Zn1 0.000 0.000 0.500
Si1 0.500 0.500 0.500
Ni1 0.500 0.500 0.000

Summary:
The energy comes out at -3.428 eV/atom. The calculation puts the density at 4463 kg/m³. As for the space group: P4/mmm. The calculation puts the raw formation energy at -164 meV per atom.

=====

Record 21
Density functional theory data (PBE) for an optimized crystal structure of CaCeEuGd.

Lattice parameters (Å, degrees): 5.910 5.910 5.910 60.00 60.00 60.00
Sites, in units of the cell vectors:
Ca1 0.000 0.000 0.000
Ce1 0.500 0.500 0.500
Eu1 0.250 0.250 0.250
Gd1 0.750 0.750 0.750

Summary:
The energy comes out at -7.815 eV/atom. The calculation puts the density at 5568 kg/m³. As for the space group: F-43m.